(1)
Compound: AgRu2Se
Source: Alexandria
Functional: PBE-GGA
Structure: optimized geometry

Structure (POSCAR):
```
AgRu2Se
1.0
2.906 0.000 0.000
0.000 4.678 0.000
0.000 0.000 4.733
Ag Ru Se
1 2 1
direct
0.000 0.000 0.000 Ag
0.000 0.500 0.500 Ru
0.500 0.500 0.000 Ru
0.500 0.000 0.500 Se
```

Values from the calculation:
- formation energy from raw total energies (meV/atom) = 707
- D(E_F) (states/eV per atom) = 1.223

=====

(2)
Compound: Ag2RuSe
Source: Alexandria
Functional: PBE-GGA
Structure: optimized geometry

Structure (POSCAR):
```
Ag2RuSe
1.0
3.019 0.000 0.000
0.000 3.019 0.000
0.000 0.000 7.955
Ag Ru Se
2 1 1
direct
0.000 0.000 0.000 Ag
0.500 0.500 0.246 Ag
0.000 0.000 0.504 Ru
0.500 0.500 0.664 Se
```

Values from the calculation:
- formation energy from raw total energies (meV/atom) = 97
- D(E_F) (states/eV per atom) = 0.386

=====

(3)
Compound: AgRu3Se
Source: Alexandria
Functional: PBE-GGA
Structure: optimized geometry

Structure (POSCAR):
```
AgRu3Se
1.0
4.890 0.000 0.000
0.000 4.890 0.000
0.000 0.000 4.890
Ag Ru Se
1 3 1
direct
0.000 0.000 0.000 Ag
0.000 0.000 0.500 Ru
0.000 0.500 0.000 Ru
0.500 0.000 0.000 Ru
0.500 0.500 0.500 Se
```

Values from the calculation:
- energy relative to the lowest polymorph listed for this composition (eV/f.u.) = 6.32
- formation energy from raw total energies (meV/atom) = 2272
- D(E_F) (states/eV per atom) = 1.351

=====

(4)
Compound: Ag4RuSe
Source: Alexandria
Functional: PBE-GGA
Structure: optimized geometry

Structure (POSCAR):
```
Ag4RuSe
1.0
0.000 3.850 3.850
3.850 0.000 3.850
3.850 3.850 0.000
Ag Ru Se
4 1 1
direct
0.125 0.125 0.125 Ag
0.125 0.125 0.626 Ag
0.125 0.626 0.125 Ag
0.626 0.125 0.125 Ag
0.750 0.750 0.750 Ru
0.500 0.500 0.500 Se
```

Values from the calculation:
- formation energy from raw total energies (meV/atom) = 623
- D(E_F) (states/eV per atom) = 0.549